An optimized crystal structure of ZnCrBi2O6. Source: Alexandria, functional PBE+U.

The structure in POSCAR format:
```
ZnCrBi2O6
1.0
-5.1520 2.1011 -0.7185
-2.6917 -0.7683 -4.8642
-4.4842 -3.5763 -0.1904
Zn Cr Bi O
1 1 2 6
Direct
0.3044 0.3047 0.0860 Zn
0.8184 0.8184 0.5449 Cr
0.5262 0.5262 0.4214 Bi
0.0350 0.0351 0.8947 Bi
0.6090 0.1606 0.2687 O
0.1604 0.9617 0.2691 O
0.9618 0.6091 0.2688 O
0.4905 0.6677 0.7537 O
0.6677 0.0878 0.7540 O
0.0882 0.4903 0.7540 O
```

Calculated values
Raw total energy (eV/atom): -5.9813
Magnetization (μB per atom): 0.20